Density functional theory data (SCAN) for SbIrW at its PBEsol-relaxed geometry.

The structure belongs to space group F-43m (No. 216); the cell edges are 6.122, 6.122 and 6.122 Å and the angles 90.00°, 90.00° and 90.00°. The inequivalent atoms are Sb at (0.000, 0.000, 0.000), Ir at (0.250, 0.250, 0.250) and W at (0.250, 0.250, 0.750).

As for the uncorrected formation energy: 92 kJ per mole of atoms. Its density of states at the Fermi level is 13.4 states/eV per cell. Its crystal system is cubic.



Density functional theory data (SCAN) for SbIrW2 at its PBEsol-relaxed geometry.

The structure belongs to space group R3m (No. 160, hexagonal axes); the cell edges are 3.0103, 3.0103 and 25.8842 Å and the angles 90.00°, 90.00° and 120.00°. The inequivalent atoms are Sb at (0.0000, 0.0000, 0.0000), Ir at (0.0000, 0.0000, 0.2444), W at (0.0000, 0.0000, 0.4997) and W at (0.0000, 0.0000, 0.7543).

As for the uncorrected formation energy: 46 kJ per mole of atoms. Its density of states at the Fermi level is 7.5 states/eV per cell. Its crystal system is trigonal.



Density functional theory data (SCAN) for YZrSb2Ir at its PBEsol-relaxed geometry.

The structure belongs to space group P4/mmm (No. 123); the cell edges are 5.264, 5.264 and 5.172 Å and the angles 90.00°, 90.00° and 90.00°. The inequivalent atoms are Y at (0.000, 0.000, 0.000), Zr at (0.000, 0.000, 0.500), Sb at (0.000, 0.500, 0.500) and Ir at (0.500, 0.500, 0.000).

As for the uncorrected formation energy: 111 kJ per mole of atoms. Its density of states at the Fermi level is 4.2 states/eV per cell. Its crystal system is tetragonal.



Density functional theory data (SCAN) for ZrSbIr at its PBEsol-relaxed geometry.

The structure belongs to space group I4mm (No. 107); the cell edges are 3.339, 3.339 and 10.377 Å and the angles 90.00°, 90.00° and 90.00°. The inequivalent atoms are Zr at (0.000, 0.000, 0.000), Sb at (0.000, 0.000, 0.302) and Ir at (0.000, 0.000, 0.639).

As for the uncorrected formation energy: -41 kJ per mole of atoms. Its density of states at the Fermi level is 4.3 states/eV per cell. Its crystal system is tetragonal.



Density functional theory data (SCAN) for Zr2SbIr at its PBEsol-relaxed geometry.

The structure belongs to space group Cmmm (No. 65); the cell edges are 4.251, 4.522 and 8.065 Å and the angles 90.00°, 90.00° and 90.00°. The inequivalent atoms are Zr at (0.000, 0.000, 0.222), Sb at (0.000, 0.500, 0.500) and Ir at (0.000, 0.500, 0.000).

As for the uncorrected formation energy: -68 kJ per mole of atoms. Its density of states at the Fermi level is 5.2 states/eV per cell. Its crystal system is orthorhombic.



Density functional theory data (SCAN) for ZrSbIr2 at its PBEsol-relaxed geometry.

The structure belongs to space group Pmm2 (No. 25); the cell edges are 3.221, 4.024 and 5.490 Å and the angles 90.00°, 90.00° and 90.00°. The inequivalent atoms are Zr at (0.000, 0.000, 0.000), Sb at (0.500, 0.500, 0.664), Ir at (0.000, 0.000, 0.501) and Ir at (0.500, 0.500, 0.178).

As for the uncorrected formation energy: -36 kJ per mole of atoms. Its density of states at the Fermi level is 1.8 states/eV per cell. Its crystal system is orthorhombic.



Density functional theory data (SCAN) for Zr2SbIr at its PBEsol-relaxed geometry.

The structure belongs to space group Imm2 (No. 44); the cell edges are 3.631, 4.316 and 9.902 Å and the angles 90.00°, 90.00° and 90.00°. The inequivalent atoms are Zr at (0.000, 0.000, 0.000), Zr at (0.000, 0.500, 0.232), Sb at (0.000, 0.000, 0.454) and Ir at (0.000, 0.500, 0.731).

As for the uncorrected formation energy: -72 kJ per mole of atoms. Its density of states at the Fermi level is 2.3 states/eV per cell. Its crystal system is orthorhombic.



Density functional theory data (SCAN) for Zr2SbIr at its PBEsol-relaxed geometry.

The structure belongs to space group P4/mmm (No. 123); the cell edges are 4.220, 4.220 and 4.223 Å and the angles 90.00°, 90.00° and 90.00°. The inequivalent atoms are Zr at (0.000, 0.500, 0.000), Sb at (0.000, 0.000, 0.500) and Ir at (0.500, 0.500, 0.500).

As for the uncorrected formation energy: -65 kJ per mole of atoms. Its density of states at the Fermi level is 2.4 states/eV per cell. Its crystal system is tetragonal.



Density functional theory data (SCAN) for Sc3Ir at its PBEsol-relaxed geometry.

The structure belongs to space group Pnma (No. 62); the cell edges are 6.668, 8.257 and 5.999 Å and the angles 90.00°, 90.00° and 90.00°. The inequivalent atoms are Sc at (0.029, 0.250, 0.101), Sc at (0.182, 0.055, 0.681) and Ir at (0.103, 0.750, 0.474).

Its density of states at the Fermi level is 10.0 states/eV per cell. Its crystal system is orthorhombic. The energy relative to the elements is -0.766 eV per atom.



Density functional theory data (SCAN) for Sc5Ir at its PBEsol-relaxed geometry.

The structure belongs to space group C2/m (No. 12); the cell edges are 10.981, 3.320 and 7.488 Å and the angles 90.00°, 111.66° and 90.00°. The inequivalent atoms are Sc at (0.000, 0.000, 0.000), Sc at (0.139, 0.500, 0.365), Sc at (0.164, 0.500, 0.792) and Ir at (0.000, 0.000, 0.500).

Its density of states at the Fermi level is 12.0 states/eV per cell. Its crystal system is monoclinic. The energy relative to the elements is -0.444 eV per atom.



Density functional theory data (SCAN) for Sc3Ir at its PBEsol-relaxed geometry.

The structure belongs to space group Immm (No. 71); the cell edges are 3.355, 4.742 and 9.824 Å and the angles 90.00°, 90.00° and 90.00°. The inequivalent atoms are Sc at (0.000, 0.000, 0.000), Sc at (0.000, 0.500, 0.208) and Ir at (0.000, 0.000, 0.500).

Its density of states at the Fermi level is 6.8 states/eV per cell. Its crystal system is orthorhombic. The energy relative to the elements is -0.691 eV per atom.



Density functional theory data (SCAN) for Sc3Ir at its PBEsol-relaxed geometry.

The structure belongs to space group P4/mmm (No. 123); the cell edges are 4.514, 4.514 and 3.668 Å and the angles 90.00°, 90.00° and 90.00°. The inequivalent atoms are Sc at (0.000, 0.000, 0.000), Sc at (0.000, 0.500, 0.500) and Ir at (0.500, 0.500, 0.000).

Its density of states at the Fermi level is 3.1 states/eV per cell. Its crystal system is tetragonal. The energy relative to the elements is -0.505 eV per atom.



Density functional theory data (SCAN) for ScIrSe at its PBEsol-relaxed geometry.

The structure belongs to space group P3m1 (No. 156); the cell edges are 4.2310, 4.2310 and 3.2523 Å and the angles 90.00°, 90.00° and 120.00°. The inequivalent atoms are Sc at (0.0000, 0.0000, 0.0000), Ir at (0.6667, 0.3333, 0.4970) and Se at (0.3333, 0.6667, 0.5027).

As for the uncorrected formation energy: -89 kJ per mole of atoms. Its density of states at the Fermi level is 0.9 states/eV per cell. Its crystal system is trigonal.



Density functional theory data (SCAN) for Sc2IrSe at its PBEsol-relaxed geometry.

The structure belongs to space group P4/mmm (No. 123); the cell edges are 4.708, 4.708 and 3.165 Å and the angles 90.00°, 90.00° and 90.00°. The inequivalent atoms are Sc at (0.000, 0.500, 0.000), Ir at (0.000, 0.000, 0.500) and Se at (0.500, 0.500, 0.500).

As for the uncorrected formation energy: -106 kJ per mole of atoms. Its density of states at the Fermi level is 2.2 states/eV per cell. Its crystal system is tetragonal.



Density functional theory data (SCAN) for Sc2IrSe at its PBEsol-relaxed geometry.

The structure belongs to space group P4mm (No. 99); the cell edges are 3.773, 3.773 and 5.458 Å and the angles 90.00°, 90.00° and 90.00°. The inequivalent atoms are Sc at (0.000, 0.000, 0.000), Sc at (0.500, 0.500, 0.424), Ir at (0.500, 0.500, 0.969) and Se at (0.000, 0.000, 0.503).

As for the uncorrected formation energy: -114 kJ per mole of atoms. Its density of states at the Fermi level is 2.6 states/eV per cell. Its crystal system is tetragonal.



Density functional theory data (SCAN) for ScIr2Se at its PBEsol-relaxed geometry.

The structure belongs to space group F-43m (No. 216); the cell edges are 6.352, 6.352 and 6.352 Å and the angles 90.00°, 90.00° and 90.00°. The inequivalent atoms are Sc at (0.000, 0.000, 0.000), Ir at (0.000, 0.000, 0.500), Ir at (0.250, 0.250, 0.250) and Se at (0.250, 0.250, 0.750).

As for the uncorrected formation energy: 1 kJ per mole of atoms. Its density of states at the Fermi level is 28.0 states/eV per cell. Its crystal system is cubic.



Density functional theory data (SCAN) for ScIr2Se at its PBEsol-relaxed geometry.

The structure belongs to space group Immm (No. 71); the cell edges are 2.930, 4.526 and 9.373 Å and the angles 90.00°, 90.00° and 90.00°. The inequivalent atoms are Sc at (0.000, 0.000, 0.000), Ir at (0.000, 0.500, 0.231) and Se at (0.000, 0.000, 0.500).

As for the uncorrected formation energy: -44 kJ per mole of atoms. Its density of states at the Fermi level is 4.7 states/eV per cell. Its crystal system is orthorhombic.



Density functional theory data (SCAN) for ScSi2Ir at its PBEsol-relaxed geometry.

The structure belongs to space group F-43m (No. 216); the cell edges are 6.232, 6.232 and 6.232 Å and the angles 90.00°, 90.00° and 90.00°. The inequivalent atoms are Sc at (0.000, 0.000, 0.000), Si at (0.000, 0.000, 0.500), Si at (0.250, 0.250, 0.250) and Ir at (0.250, 0.250, 0.750).

As for the uncorrected formation energy: -39 kJ per mole of atoms. Its crystal system is cubic.



Density functional theory data (SCAN) for ScSi2Ir at its PBEsol-relaxed geometry.

The structure belongs to space group Pmmm (No. 47); the cell edges are 3.014, 4.083 and 5.002 Å and the angles 90.00°, 90.00° and 90.00°. The inequivalent atoms are Sc at (0.000, 0.000, 0.000), Si at (0.500, 0.500, 0.244) and Ir at (0.500, 0.000, 0.500).

As for the uncorrected formation energy: -71 kJ per mole of atoms. Its density of states at the Fermi level is 2.0 states/eV per cell. Its crystal system is orthorhombic.



Density functional theory data (SCAN) for ScSi2Ir at its PBEsol-relaxed geometry.

The structure belongs to space group Cm (No. 8); the cell edges are 8.498, 3.063 and 4.812 Å and the angles 90.00°, 102.43° and 90.00°. The inequivalent atoms are Sc at (0.000, 0.000, 0.000), Si at (0.001, 0.500, 0.491), Si at (0.260, 0.500, 0.279) and Ir at (0.235, 0.000, 0.660).

As for the uncorrected formation energy: -57 kJ per mole of atoms. Its density of states at the Fermi level is 2.4 states/eV per cell. Its crystal system is monoclinic.



Density functional theory data (SCAN) for Sc4Si6Ir7 at its PBEsol-relaxed geometry.

The structure belongs to space group Im-3m (No. 229); the cell edges are 7.982, 7.982 and 7.982 Å and the angles 90.00°, 90.00° and 90.00°. The inequivalent atoms are Sc at (0.250, 0.250, 0.250), Si at (0.000, 0.000, 0.316), Ir at (0.000, 0.000, 0.000) and Ir at (0.000, 0.250, 0.500).

As for the uncorrected formation energy: -116 kJ per mole of atoms. Its density of states at the Fermi level is 15.3 states/eV per cell. Its crystal system is cubic.



Density functional theory data (SCAN) for Sc3Si3Ir at its PBEsol-relaxed geometry.

The structure belongs to space group Pnma (No. 62); the cell edges are 11.528, 4.004 and 10.109 Å and the angles 90.00°, 90.00° and 90.00°. The inequivalent atoms are Sc at (0.020, 0.250, 0.123), Sc at (0.102, 0.250, 0.420), Sc at (0.200, 0.750, 0.658), Si at (0.046, 0.250, 0.693), Si at (0.158, 0.750, 0.250), Si at (0.178, 0.750, 0.014) and Ir at (0.176, 0.250, 0.889).

As for the uncorrected formation energy: -103 kJ per mole of atoms. Its density of states at the Fermi level is 10.6 states/eV per cell. Its crystal system is orthorhombic.



Density functional theory data (SCAN) for Sc5Si10Ir4 at its PBEsol-relaxed geometry.

The structure belongs to space group P4/mbm (No. 127); the cell edges are 12.292, 12.292 and 4.054 Å and the angles 90.00°, 90.00° and 90.00°. The inequivalent atoms are Sc at (0.000, 0.000, 0.000), Sc at (0.117, 0.383, 0.500), Sc at (0.174, 0.674, 0.500), Si at (0.005, 0.848, 0.500), Si at (0.066, 0.566, 0.000), Si at (0.166, 0.199, 0.000) and Ir at (0.019, 0.753, 0.000).

As for the uncorrected formation energy: -92 kJ per mole of atoms. Its density of states at the Fermi level is 14.2 states/eV per cell. Its crystal system is tetragonal.



Density functional theory data (SCAN) for ScSi7Ir3 at its PBEsol-relaxed geometry.

The structure belongs to space group R-3c (No. 167, hexagonal axes); the cell edges are 7.4944, 7.4944 and 19.8731 Å and the angles 90.00°, 90.00° and 120.00°. The inequivalent atoms are Sc at (0.0000, 0.0000, 0.0000), Si at (0.0000, 0.0000, 0.2500), Si at (0.0121, 0.2037, 0.1372) and Ir at (0.0000, 0.3231, 0.2500).

As for the uncorrected formation energy: -75 kJ per mole of atoms. Its density of states at the Fermi level is 1.7 states/eV per cell. Its crystal system is trigonal.